(1)
8
Lattice="-4.3020 -0.5994 -0.1703 0.6036 -5.7127 4.8611 -1.0479 6.4388 3.8083" Properties=species:S:1:pos:R:3 comment="PBE-GGA SmScPa2Sb4, optimized geometry" energy_ev_per_atom=-6.536 crystal_system=monoclinic sg="P2/m (10)" pbc="T T T"
Sc -1.8492 -3.1561 2.3454
Sm 0.0000 0.0000 0.0000
Pa -2.6749 2.9197 1.8190
Pa -0.2222 0.3630 4.3347
Sb -0.6374 3.3914 4.1641
Sb -2.4920 0.3090 6.3882
Sb 0.1931 -2.6653 4.5053
Sb -2.2543 -0.1823 2.1109



(2)
8
Lattice="-2.8527 -2.1495 2.4733 4.2371 -6.1499 -0.4576 2.1198 4.0667 5.9795" Properties=species:S:1:pos:R:3 comment="PBE-GGA Tb2ScPaSb4, optimized geometry" energy_ev_per_atom=-6.105 crystal_system=monoclinic sg="P2/m (10)" pbc="T T T"
Tb 3.1785 -1.0416 2.7609
Tb -0.3664 0.9586 4.2264
Sb 2.6387 1.5666 4.4051
Sb 3.4065 -2.6492 5.4426
Sb 3.7183 -3.6498 1.1167
Sb 0.0978 -1.5835 2.5525
Sc 0.0000 0.0000 0.0000
Pa 0.6922 -4.1497 1.0078



(3)
7
Lattice="-4.8082 0.9425 -2.8601 -2.8719 -3.0560 3.8210 2.6999 6.9555 3.3803" Properties=species:S:1:pos:R:3 comment="PBE-GGA ScPa2Sb2Te2, optimized geometry" energy_ev_per_atom=-6.087 crystal_system=tetragonal sg="I4/mmm (139)" pbc="T T T"
Te -0.4562 2.3602 1.5448
Te -4.5240 2.4819 2.7964
Sb -1.4360 -1.5280 1.9105
Sb -2.4041 0.4713 -1.4300
Pa -4.0535 0.0475 1.2032
Pa -0.9268 4.7946 3.1380
Sc 0.0000 0.0000 0.0000



(4)
8
Lattice="4.4057 0.0000 0.0000 0.0000 7.5969 0.1217 0.0000 -2.6637 7.1212" Properties=species:S:1:pos:R:3 comment="PBE-GGA Th2ScPaSb4, optimized geometry" energy_ev_per_atom=-6.676 crystal_system=monoclinic sg="P2/m (10)" pbc="T T T"
Sc 2.2029 3.7984 0.0608
Sb 2.2029 3.6411 5.5464
Sb 0.0000 4.9885 1.7245
Sb 0.0000 -0.0553 5.5184
Sb 2.2029 1.2920 1.6965
Th 2.2029 -1.3318 3.5606
Th 0.0000 2.4666 3.6214
Pa 0.0000 0.0000 0.0000



(5)
8
Lattice="-2.9667 -2.9650 -0.7903 5.0175 -5.3124 1.0955 -3.3029 1.6077 6.3669" Properties=species:S:1:pos:R:3 comment="PBE-GGA TmSc2PaSb4, optimized geometry" energy_ev_per_atom=-6.232 crystal_system=monoclinic sg="P2/m (10)" pbc="T T T"
Sc 0.8573 -1.8523 3.7312
Sc -3.1348 -0.6786 2.7883
Tm 1.0254 -4.1387 0.1526
Sb -1.0676 -2.4233 1.5740
Sb -0.1844 -4.2463 5.0981
Sb 2.9121 -3.5785 2.4942
Sb -1.1974 -0.1262 4.9683
Pa 0.0000 0.0000 0.0000



(6)
9
Lattice="-1.8860 -0.3313 -4.8804 3.8876 -3.2761 -1.2799 -6.2020 -8.5221 2.9752" Properties=species:S:1:pos:R:3 comment="PBE-GGA TmScPa2Sb5, optimized geometry" energy_ev_per_atom=-5.502 crystal_system=tetragonal sg="P4/mmm (123)" pbc="T T T"
Sc 0.0000 0.0000 0.0000
Tm -3.1010 -4.2610 1.4876
Sb -1.5028 -2.0650 0.7209
Sb 1.0008 -1.8037 -3.0802
Sb -4.0440 -4.4267 -0.9526
Sb -4.6992 -6.4571 2.2543
Sb -1.1572 -5.8991 0.8476
Pa -3.2605 -7.6591 -1.0359
Pa -0.9398 -4.4703 -2.1492



(7)
8
Lattice="-0.7069 -2.3565 -3.5427 -0.9332 -6.0808 4.2310 -6.5974 3.4112 -0.9527" Properties=species:S:1:pos:R:3 comment="PBE-GGA TmScPa2Sb4, optimized geometry" energy_ev_per_atom=-6.485 crystal_system=monoclinic sg="P2/m (10)" pbc="T T T"
Tm -0.8200 -4.2187 0.3442
Sb -2.1401 -1.8343 -0.9785
Sb -2.2844 -3.7519 2.9515
Sb -5.2462 1.0823 0.3269
Sb -6.0974 -3.1919 0.7141
Pa -3.7653 -1.3348 1.6392
Pa -3.6521 0.5273 -2.2477
Sc 0.0000 0.0000 0.0000



(8)
8
Lattice="4.3109 0.0000 0.0000 0.0000 7.4352 0.1253 0.0000 -2.6026 7.0026" Properties=species:S:1:pos:R:3 comment="PBE-GGA Tm2ScPaSb4, optimized geometry" energy_ev_per_atom=-6.022 crystal_system=monoclinic sg="P2/m (10)" pbc="T T T"
Sc 0.0000 0.0000 0.0000
Sb 0.0000 4.9804 1.8442
Sb 2.1554 1.1640 1.7357
Sb 0.0000 -0.1478 5.2837
Sb 2.1554 3.6686 5.3922
Tm 0.0000 2.4163 3.5640
Tm 2.1554 -1.3013 3.5013
Pa 2.1554 3.7176 0.0626